(1)
DFT (GGA-PBE) results for a relaxed Na3IrPd crystal.

Values from the calculation:
Space group ... Pm-3m, No. 221
ΔE to the lowest computed polymorph ... 2 meV per atom

Unit cell a=5.368 b=5.368 c=5.368 alpha=90.00 beta=90.00 gamma=90.00
Each line ends with the local moment (μB).
Positions (direct):
Na: 0.000 0.000 0.500  0.00
Na: 0.000 0.500 0.000  0.00
Na: 0.500 0.000 0.000  0.00
Pd: 0.500 0.500 0.500  -0.02
Ir: 0.000 0.000 0.000  0.20

***

(2)
DFT (GGA-PBE) results for a relaxed NaIrPd2 crystal.

Values from the calculation:
Space group ... I-42d, No. 122
ΔE to the lowest computed polymorph ... 324 meV per atom

Unit cell a=3.990 b=3.990 c=9.347 alpha=77.68 beta=77.68 gamma=90.00
Positions (direct):
Ir: 0.000 0.000 0.000
Ir: 0.750 0.250 0.500
Na: 0.250 0.750 0.500
Na: 0.500 0.500 0.000
Pd: 0.875 0.893 0.750
Pd: 0.375 0.357 0.750
Pd: 0.643 0.125 0.250
Pd: 0.107 0.625 0.250

***

(3)
DFT (GGA-PBE) results for a relaxed NaIr2Pd crystal.

Values from the calculation:
Space group ... I-42d, No. 122
ΔE to the lowest computed polymorph ... 44 meV per atom

Unit cell a=7.816 b=7.816 c=6.028 alpha=49.59 beta=49.59 gamma=90.00
Positions (direct):
Ir: 0.676 0.125 0.250
Ir: 0.074 0.625 0.250
Ir: 0.375 0.324 0.750
Ir: 0.875 0.926 0.750
Pd: 0.000 0.000 0.000
Pd: 0.750 0.250 0.500
Na: 0.250 0.750 0.500
Na: 0.500 0.500 0.000

***

(4)
DFT (GGA-PBE) results for a relaxed NaIr2Pd2 crystal.

Values from the calculation:
Space group ... P4/mbm, No. 127
VASP energy ... -5.69 eV/atom

Unit cell a=7.903 b=7.903 c=2.715 alpha=90.00 beta=90.00 gamma=90.00
Positions (direct):
Ir: 0.614 0.114 0.000
Ir: 0.386 0.886 0.000
Ir: 0.114 0.386 0.000
Ir: 0.886 0.614 0.000
Pd: 0.315 0.185 0.500
Pd: 0.815 0.315 0.500
Pd: 0.685 0.815 0.500
Pd: 0.185 0.685 0.500
Na: 0.500 0.500 0.000
Na: 0.000 0.000 0.000

***

(5)
DFT (GGA-PBE) results for a relaxed Na3IrPd crystal.

Values from the calculation:
Space group ... Pm-3m, No. 221
ΔE to the lowest computed polymorph ... 0 meV per atom

Unit cell a=5.217 b=5.217 c=5.217 alpha=90.00 beta=90.00 gamma=90.00
Each line ends with the local moment (μB).
Positions (direct):
Pd: 0.000 0.000 0.000  0.09
Na: 0.000 0.500 0.000  0.00
Na: 0.500 0.000 0.000  0.00
Na: 0.000 0.000 0.500  0.00
Ir: 0.500 0.500 0.500  1.66

***

(6)
DFT (GGA-PBE) results for a relaxed Na4Ir3PdS8 crystal.

Values from the calculation:
Space group ... R-3m, No. 166
Raw formation energy ... -0.6371 eV per atom

Unit cell a=7.371 b=7.567 c=7.371 alpha=119.14 beta=120.00 gamma=90.00
Positions (direct):
Na: 0.000 0.000 0.000
Na: 0.500 0.000 0.000
Na: 0.000 0.000 0.500
Na: 0.500 0.000 0.500
S: 0.272 0.316 0.544
S: 0.281 0.311 0.046
S: 0.235 0.689 0.954
S: 0.235 0.689 0.470
S: 0.765 0.311 0.530
S: 0.765 0.311 0.046
S: 0.728 0.684 0.456
S: 0.719 0.689 0.954
Ir: 0.500 0.500 0.500
Ir: 0.500 0.500 0.000
Ir: 0.000 0.500 0.500
Pd: 0.000 0.500 0.000

***

(7)
DFT (GGA-PBE) results for a relaxed NaIr3Pd2S8 crystal.

Values from the calculation:
Space group ... R3m, No. 160
Raw formation energy ... -0.3717 eV per atom

Unit cell a=7.222 b=7.222 c=7.263 alpha=60.19 beta=60.19 gamma=60.00
Positions (direct):
S: 0.734 0.734 0.224
S: 0.709 0.259 0.773
S: 0.259 0.259 0.773
S: 0.259 0.709 0.773
S: 0.731 0.731 0.806
S: 0.265 0.265 0.204
S: 0.734 0.307 0.224
S: 0.307 0.734 0.224
Pd: 0.122 0.122 0.633
Pd: 0.499 0.499 0.502
Ir: 0.501 0.501 0.002
Ir: 0.501 0.997 0.002
Ir: 0.997 0.501 0.002
Na: 0.874 0.874 0.379

***

(8)
DFT (GGA-PBE) results for a relaxed Na2Ir2PdSe6 crystal.

Values from the calculation:
Space group ... C2/m, No. 12
Raw formation energy ... -0.5097 eV per atom

Unit cell a=6.609 b=6.609 c=7.096 alpha=98.72 beta=98.72 gamma=120.20
Positions (direct):
Se: 0.276 0.276 0.313
Se: 0.060 0.398 0.686
Se: 0.940 0.602 0.314
Se: 0.724 0.724 0.687
Se: 0.602 0.940 0.314
Se: 0.398 0.060 0.686
Pd: 0.000 0.000 0.500
Ir: 0.668 0.332 0.500
Ir: 0.332 0.668 0.500
Na: 0.838 0.162 0.000
Na: 0.162 0.838 0.000

***

> What is the formula in the third record?

NaIr2Pd